A plane-wave DFT calculation with PBE was carried out for a geometry-optimized Tb12Pr7Dy structure.

Unit cell a=9.877 b=9.877 c=9.877 alpha=109.47 beta=109.47 gamma=109.47
Element x y z (fractional)
1 Tb 0.000 0.246 0.754
2 Tb 0.000 0.754 0.246
3 Tb 0.246 0.000 0.754
4 Tb 0.246 0.246 0.493
5 Tb 0.246 0.493 0.246
6 Tb 0.246 0.754 0.000
7 Tb 0.493 0.246 0.246
8 Tb 0.507 0.754 0.754
9 Tb 0.754 0.000 0.246
10 Tb 0.754 0.246 0.000
11 Tb 0.754 0.507 0.754
12 Tb 0.754 0.754 0.507
13 Pr 0.000 0.000 0.500
14 Pr 0.000 0.500 0.000
15 Pr 0.000 0.500 0.500
16 Pr 0.500 0.000 0.000
17 Pr 0.500 0.000 0.500
18 Pr 0.500 0.500 0.000
19 Pr 0.500 0.500 0.500
20 Dy 0.000 0.000 0.000

As for the symmetry: Im-3m, No. 229. Its formation energy is 0.620 eV per atom. As for the energy above the lowest structure with this stoichiometry: 7.87 eV/f.u. For the density of states at the Fermi level, the calculation gives 1.438 states/eV/atom.

A plane-wave DFT calculation with PBE was carried out for a geometry-optimized TbPr12Dy7 structure.

Unit cell a=11.580 b=11.580 c=11.580 alpha=116.80 beta=116.80 gamma=116.80
Element x y z (fractional)
1 Tb 0.000 0.000 0.000
2 Pr 0.066 0.419 0.419
3 Pr 0.088 0.500 0.912
4 Pr 0.088 0.912 0.500
5 Pr 0.419 0.066 0.419
6 Pr 0.419 0.419 0.066
7 Pr 0.500 0.088 0.912
8 Pr 0.500 0.912 0.088
9 Pr 0.581 0.581 0.934
10 Pr 0.581 0.934 0.581
11 Pr 0.912 0.088 0.500
12 Pr 0.912 0.500 0.088
13 Pr 0.934 0.581 0.581
14 Dy 0.123 0.123 0.368
15 Dy 0.123 0.368 0.123
16 Dy 0.368 0.123 0.123
17 Dy 0.500 0.500 0.500
18 Dy 0.632 0.877 0.877
19 Dy 0.877 0.632 0.877
20 Dy 0.877 0.877 0.632

As for the symmetry: R-3m, No. 166. Its formation energy is 0.223 eV per atom. As for the energy above the lowest structure with this stoichiometry: 2.53 eV/f.u. For the density of states at the Fermi level, the calculation gives 1.397 states/eV/atom.